Below is a relaxed structure of Ce2HoPaSb4, with properties calculated at the GGA-PBE level.

Structure (CIF):
```
data_Ce2HoPaSb4
_chemical_formula_sum 'Ce2 Ho1 Pa1 Sb4'
_cell_length_a 7.675
_cell_length_b 4.433
_cell_length_c 7.690
_cell_angle_alpha 90.00
_cell_angle_beta 109.42
_cell_angle_gamma 90.00
_space_group_name_H-M_alt 'P 1 2/m 1'
_space_group_IT_number 10
_space_group_name_Hall '-P 2y'
loop_
_atom_site_label
_atom_site_type_symbol
_atom_site_fract_x
_atom_site_fract_y
_atom_site_fract_z
Ce1 Ce 0.000 0.000 0.000
Ce2 Ce 0.500 0.500 0.000
Ho1 Ho 0.000 0.500 0.500
Pa1 Pa 0.500 0.000 0.500
Sb1 Sb 0.247 0.000 0.741
Sb2 Sb 0.252 0.500 0.259
```

Output
- uncorrected formation energy (eV/atom) = -0.91
- E (eV per atom) = -6.214

---

Below is a relaxed structure of BeTc2Mo, with properties calculated at the GGA-PBE level.

Structure (CIF):
```
data_BeTc2Mo
_chemical_formula_sum 'Be1 Tc2 Mo1'
_cell_length_a 2.741
_cell_length_b 3.928
_cell_length_c 5.105
_cell_angle_alpha 90.00
_cell_angle_beta 90.00
_cell_angle_gamma 90.00
_space_group_name_H-M_alt 'P m m 2'
_space_group_IT_number 25
_space_group_name_Hall 'P 2 -2'
loop_
_atom_site_label
_atom_site_type_symbol
_atom_site_fract_x
_atom_site_fract_y
_atom_site_fract_z
Be1 Be 0.000 0.000 0.000
Tc1 Tc 0.000 0.000 0.510
Tc2 Tc 0.500 0.500 0.764
Mo1 Mo 0.500 0.500 0.241
```

Output
- E (eV per atom) = -8.758
- formation enthalpy at 0 K (eV/atom) = 0.064

---

Below is a relaxed structure of La5As3, with properties calculated at the GGA-PBE level.

Structure (CIF):
```
data_La5As3
_chemical_formula_sum 'La10 As6'
_cell_length_a 8.347
_cell_length_b 11.616
_cell_length_c 4.708
_cell_angle_alpha 90.00
_cell_angle_beta 90.00
_cell_angle_gamma 90.00
_space_group_name_H-M_alt 'C m m m'
_space_group_IT_number 65
_space_group_name_Hall '-C 2 2'
loop_
_atom_site_label
_atom_site_type_symbol
_atom_site_fract_x
_atom_site_fract_y
_atom_site_fract_z
La1 La 0.000 0.000 0.000
La2 La 0.221 0.500 0.500
La3 La 0.250 0.250 0.000
As1 As 0.000 0.188 0.500
As2 As 0.000 0.500 0.000
```

Output
- E (eV per atom) = -5.809
- formation enthalpy at 0 K (eV/atom) = -0.986
- distance to the lowest polymorph of the same formula (meV/atom) = 138.7